Entry 1:
Below is a relaxed HoEr3Ni2 crystal, with properties calculated at the PBE level.

a = 3.8530 Å, b = 8.1858 Å, c = 9.7615 Å
α = 97.54°, β = 78.62°, γ = 76.39°
Last column: nearest neighbours and their distance in Å.
Positions (direct):
1 Ni 0.8198 0.4114 0.9490  2 Ni 2.48, 2 Er 2.77, 2 Ho 2.77
2 Ni 0.6805 0.0882 0.5509  2 Ni 2.47, 2 Er 2.76
3 Ni 0.3195 0.9118 0.4491  2 Ni 2.47, 2 Er 2.76
4 Ni 0.1802 0.5886 0.0510  2 Ni 2.48, 2 Er 2.77, 2 Ho 2.77
5 Ho 0.4085 0.4374 0.7455  4 Ni 2.77-3.04
6 Ho 0.5915 0.5626 0.2545  4 Ni 2.77-3.04
7 Er 0.8575 0.7249 0.5601  3 Ni 2.76-2.91
8 Er 0.9085 0.9371 0.2458  4 Ni 2.77-3.04
9 Er 0.0915 0.0629 0.7542  4 Ni 2.77-3.04
10 Er 0.3586 0.2235 0.0593  3 Ni 2.77-2.92
11 Er 0.6414 0.7765 0.9407  3 Ni 2.77-2.92
12 Er 0.1425 0.2751 0.4399  3 Ni 2.76-2.91

Results
Symmetry ... No. 12
Electronic total energy ... -31.7 eV per formula unit



Entry 2:
Below is a relaxed Ho6ErNi3 crystal, with properties calculated at the PBE level.

a = 7.0118 Å, b = 8.4500 Å, c = 8.4500 Å
α = 99.79°, β = 90.00°, γ = 90.00°
Last column: nearest neighbours and their distance in Å.
Positions (direct):
1 Ni 0.4544 0.9113 0.6985  5 Ho 2.65-2.90
2 Ni 0.8786 0.5831 0.4169  5 Ho 2.63-2.80, 1 Er 2.63
3 Ni 0.4544 0.3015 0.0887  5 Ho 2.65-2.90
4 Ni 0.3786 0.4169 0.5831  5 Ho 2.63-2.80, 1 Er 2.63
5 Ni 0.9544 0.0887 0.3015  5 Ho 2.65-2.90
6 Ni 0.9544 0.6985 0.9113  5 Ho 2.65-2.90
7 Ho 0.6712 0.2963 0.3700  4 Ni 2.65-2.83
8 Ho 0.3189 0.0346 0.4190  2 Ni 2.81-2.90
9 Ho 0.8189 0.9654 0.5810  2 Ni 2.81-2.90
10 Ho 0.0089 0.7738 0.2262  3 Ni 2.63-2.66
11 Ho 0.1616 0.0326 0.9674  4 Ni 3.10-3.14
12 Ho 0.5089 0.2262 0.7738  3 Ni 2.63-2.66
13 Ho 0.8189 0.4190 0.0346  2 Ni 2.81-2.90
14 Ho 0.1712 0.7037 0.6300  4 Ni 2.65-2.83
15 Ho 0.3189 0.5810 0.9654  2 Ni 2.81-2.90
16 Ho 0.1712 0.3700 0.2963  4 Ni 2.65-2.83
17 Ho 0.6616 0.9674 0.0326  4 Ni 3.10-3.14
18 Ho 0.6712 0.6300 0.7037  4 Ni 2.65-2.83
19 Er 0.0473 0.3211 0.6789  1 Ni 2.63
20 Er 0.5473 0.6789 0.3211  1 Ni 2.63

Results
Symmetry ... No. 36
Electronic total energy ... -51.8 eV per formula unit